<P>
# CrPCl2, optimized geometry, DFT GGA-PBEsol
# Total moment (μB/f.u.): 1.18
# V (Å³/f.u.): 78.7
data_CrPCl2
_cell_length_a 8.446
_cell_length_b 8.446
_cell_length_c 4.410
_cell_angle_alpha 90.00
_cell_angle_beta 90.00
_cell_angle_gamma 90.00
_space_group_name_H-M_alt 'I -4 2 d'
_space_group_IT_number 122
_space_group_name_Hall 'I -4 2bw'
loop_
_atom_site_label
_atom_site_type_symbol
_atom_site_fract_x
_atom_site_fract_y
_atom_site_fract_z
Cr1 Cr 0.000 0.000 0.000
P1 P 0.000 0.000 0.500
Cl1 Cl 0.107 0.750 0.125

<Q>
# CrPCl2, optimized geometry, DFT GGA-PBEsol
# Total moment (μB/f.u.): 1.01
# V (Å³/f.u.): 67.7
data_CrPCl2
_cell_length_a 3.1220
_cell_length_b 3.1220
_cell_length_c 24.0572
_cell_angle_alpha 90.00
_cell_angle_beta 90.00
_cell_angle_gamma 120.00
_space_group_name_H-M_alt 'R 3 m'
_space_group_IT_number 160
_space_group_name_Hall 'R 3 -2"'
loop_
_atom_site_label
_atom_site_type_symbol
_atom_site_fract_x
_atom_site_fract_y
_atom_site_fract_z
Cr1 Cr 0.0000 0.0000 0.0000
P1 P 0.0000 0.0000 0.7248
Cl1 Cl 0.0000 0.0000 0.2680
Cl2 Cl 0.0000 0.0000 0.4691

<R>
# CrPCl2, optimized geometry, DFT GGA-PBEsol
# Total moment (μB/f.u.): 2.91
# V (Å³/f.u.): 64.7
data_CrPCl2
_cell_length_a 6.373
_cell_length_b 6.373
_cell_length_c 6.373
_cell_angle_alpha 90.00
_cell_angle_beta 90.00
_cell_angle_gamma 90.00
_space_group_name_H-M_alt 'F -4 3 m'
_space_group_IT_number 216
_space_group_name_Hall 'F -4 2 3'
loop_
_atom_site_label
_atom_site_type_symbol
_atom_site_fract_x
_atom_site_fract_y
_atom_site_fract_z
Cr1 Cr 0.000 0.000 0.000
P1 P 0.250 0.250 0.750
Cl1 Cl 0.000 0.000 0.500
Cl2 Cl 0.250 0.250 0.250

Which is most stable, and by how much? <Q>, by 109 meV/atom.

<P>
# Cr2PCl, optimized geometry, DFT GGA-PBEsol
# Total moment (μB/f.u.): 7.54
# V (Å³/f.u.): 63.8
data_Cr2PCl
_cell_length_a 6.689
_cell_length_b 6.626
_cell_length_c 3.104
_cell_angle_alpha 90.00
_cell_angle_beta 111.86
_cell_angle_gamma 90.00
_space_group_name_H-M_alt 'C 1 2/m 1'
_space_group_IT_number 12
loop_
_space_group_symop_operation_xyz
'x,y,z'
'-x,-y,-z'
'-x,y,-z'
'x,-y,z'
'x+1/2,y+1/2,z'
'-x+1/2,-y+1/2,-z'
'-x+1/2,y+1/2,-z'
'x+1/2,-y+1/2,z'
loop_
_atom_site_label
_atom_site_type_symbol
_atom_site_fract_x
_atom_site_fract_y
_atom_site_fract_z
Cr1 Cr 0.250 0.250 0.000
P1 P 0.000 0.000 0.500
Cl1 Cl 0.000 0.500 0.500

<Q>
# Cr2PCl, optimized geometry, DFT GGA-PBEsol
# Total moment (μB/f.u.): 7.27
# V (Å³/f.u.): 59.3
data_Cr2PCl
_cell_length_a 6.189
_cell_length_b 6.189
_cell_length_c 6.189
_cell_angle_alpha 90.00
_cell_angle_beta 90.00
_cell_angle_gamma 90.00
_space_group_name_H-M_alt 'F m -3 m'
_space_group_IT_number 225
_space_group_name_Hall '-F 4 2 3'
loop_
_atom_site_label
_atom_site_type_symbol
_atom_site_fract_x
_atom_site_fract_y
_atom_site_fract_z
Cr1 Cr 0.250 0.250 0.250
P1 P 0.000 0.000 0.000
Cl1 Cl 0.000 0.000 0.500

Which is most stable, and by how much? <P>, by 6 meV/atom.